(1)
## Ti2CuAgAu (PBE-GGA)

Data for crystalline Ti2CuAgAu at its relaxed geometry.

Cell: 4.925 4.925 4.732 Å, 90.00 90.00 90.00°
Space group P4/mmm (No. 123)
Asymmetric unit:
Ti (0.000, 0.500, 0.000) x2
Cu (0.000, 0.000, 0.500) x1
Ag (0.500, 0.500, 0.500) x1
Au (0.000, 0.000, 0.000) x1

## Properties
E in eV/f.u.: -21.96
V in Å³ per atom: 22.95
Calculated formation energy in eV per atom: 0.81
Mass density in g cm⁻³: 6.7
Total magnetization in μB/cell: 2.3
Crystal system: tetragonal

(2)
## ScZnMoOs (PBE-GGA)

Data for crystalline ScZnMoOs at its relaxed geometry.

Cell: 6.351 6.351 6.351 Å, 90.00 90.00 90.00°
Space group F-43m (No. 216)
Asymmetric unit:
Sc (0.000, 0.000, 0.000) x4
Zn (0.250, 0.250, 0.750) x4
Mo (0.000, 0.000, 0.500) x4
Os (0.250, 0.250, 0.250) x4

## Properties
E in eV/f.u.: -29.98
V in Å³ per atom: 16.01
Calculated formation energy in eV per atom: -0.08
Mass density in g cm⁻³: 10.3
Total magnetization in μB/cell: 0.0
Crystal system: cubic

(3)
## Er3PdO6 (PBE-GGA)

Data for crystalline Er3PdO6 at its relaxed geometry.

Cell: 8.884 10.973 5.486 Å, 90.00 90.00 90.00°
Space group Cmc2_1 (No. 36)
Asymmetric unit:
Er (0.000, 0.102, 0.000) x4
Er (0.208, 0.383, 0.948) x8
Pd (0.000, 0.362, 0.440) x4
O (0.000, 0.279, 0.765) x4
O (0.000, 0.475, 0.132) x4
O (0.150, 0.243, 0.235) x8
O (0.159, 0.016, 0.723) x8

## Properties
E in eV/f.u.: -75.89
V in Å³ per atom: 13.37
Mass density in g cm⁻³: 8.7
Total magnetization in μB/cell: 4.1
Crystal system: orthorhombic

(4)
## Ac4PtS2Br (PBE-GGA)

Data for crystalline Ac4PtS2Br at its relaxed geometry.

Cell: 7.759 4.258 7.762 Å, 90.00 108.50 90.00°
Space group P2/m (No. 10)
Asymmetric unit:
Ac (0.228, 0.000, 0.232) x2
Ac (0.253, 0.500, 0.767) x2
Pt (0.500, 0.000, 0.000) x1
S (0.000, 0.000, 0.500) x1
S (0.000, 0.500, 0.000) x1
Br (0.500, 0.500, 0.500) x1

## Properties
E in eV/f.u.: -44.99
V in Å³ per atom: 30.40
Mass density in g cm⁻³: 8.5
Total magnetization in μB/cell: 0.0
Crystal system: monoclinic

(5)
## Ta2PtCl2 (PBE-GGA)

Data for crystalline Ta2PtCl2 at its relaxed geometry.

Cell: 7.547 7.547 2.835 Å, 90.00 90.00 90.00°
Space group P4/mbm (No. 127)
Asymmetric unit:
Ta (0.180, 0.320, 0.000) x4
Pt (0.000, 0.000, 0.500) x2
Cl (0.124, 0.624, 0.500) x4

## Properties
E in eV/f.u.: -31.44
V in Å³ per atom: 16.15
Mass density in g cm⁻³: 12.9
Total magnetization in μB/cell: 0.0
Crystal system: tetragonal

(6)
## CuPt2W (PBE-GGA)

Data for crystalline CuPt2W at its relaxed geometry.

Cell: 2.793 3.989 5.377 Å, 90.00 90.00 90.00°
Space group Pmm2 (No. 25)
Asymmetric unit:
Cu (0.000, 0.000, 0.000) x1
Pt (0.000, 0.000, 0.513) x1
Pt (0.500, 0.500, 0.216) x1
W (0.500, 0.500, 0.736) x1

## Properties
E in eV/f.u.: -29.48
V in Å³ per atom: 14.98
Calculated formation energy in eV per atom: -0.09
Mass density in g cm⁻³: 17.7
Total magnetization in μB/cell: 0.0
Crystal system: orthorhombic

(7)
## Ca2DyCu9 (PBE-GGA)

Data for crystalline Ca2DyCu9 at its relaxed geometry.

Cell: 5.1550 5.1550 25.3056 Å, 90.00 90.00 120.00°
Space group R-3m (No. 166, hexagonal axes)
Asymmetric unit:
Ca (0.0000, 0.0000, 0.1413) x6
Dy (0.0000, 0.0000, 0.0000) x3
Cu (0.0000, 0.0000, 0.3321) x6
Cu (0.0000, 0.0000, 0.5000) x3
Cu (0.0028, 0.5014, 0.0802) x18

## Properties
E in eV/f.u.: -47.22
V in Å³ per atom: 16.18
Calculated formation energy in eV per atom: -0.15
Mass density in g cm⁻³: 7.0
Total magnetization in μB/cell: 0.0
Crystal system: trigonal

(8)
## NaAu3N (PBE-GGA)

Data for crystalline NaAu3N at its relaxed geometry.

Cell: 5.178 5.178 5.178 Å, 90.00 90.00 90.00°
Space group Pm-3m (No. 221)
Asymmetric unit:
Na (0.000, 0.000, 0.000) x1
Au (0.000, 0.000, 0.500) x3
N (0.500, 0.500, 0.500) x1

## Properties
E in eV/f.u.: -10.20
V in Å³ per atom: 27.76
Mass density in g cm⁻³: 7.5
Total magnetization in μB/cell: 2.6
Crystal system: cubic

(9)
## LaGaNO2 (PBE-GGA)

Data for crystalline LaGaNO2 at its relaxed geometry.

Cell: 3.967 3.967 3.916 Å, 90.00 90.00 90.00°
Space group P4/mmm (No. 123)
Asymmetric unit:
La (0.000, 0.000, 0.000) x1
Ga (0.500, 0.500, 0.500) x1
N (0.500, 0.500, 0.000) x1
O (0.000, 0.500, 0.500) x2

## Properties
E in eV/f.u.: -34.32
V in Å³ per atom: 12.32
Mass density in g cm⁻³: 6.9
Total magnetization in μB/cell: 1.0
Crystal system: tetragonal

(10)
## Ca2Nd6Ho (PBE-GGA)

Data for crystalline Ca2Nd6Ho at its relaxed geometry.

Cell: 7.395 8.256 11.696 Å, 73.73 71.73 77.27°
Space group P-1 (No. 2)
Asymmetric unit:
Ca (0.086, 0.000, 0.329) x2
Ca (0.194, 0.337, 0.441) x2
Nd (0.033, 0.336, 0.788) x2
Nd (0.145, 0.660, 0.890) x2
Nd (0.254, 0.001, 0.994) x2
Nd (0.320, 0.662, 0.561) x2
Nd (0.413, 0.003, 0.670) x2
Nd (0.478, 0.665, 0.218) x2
Ho (0.369, 0.337, 0.103) x2

## Properties
E in eV/f.u.: -36.76
V in Å³ per atom: 35.78
Calculated formation energy in eV per atom: 0.05
Mass density in g cm⁻³: 5.7
Total magnetization in μB/cell: 0.0
Crystal system: triclinic

(11)
## Tl4Cd4In5 (PBE-GGA)

Data for crystalline Tl4Cd4In5 at its relaxed geometry.

Cell: 12.249 12.249 4.719 Å, 90.00 90.00 90.00°
Space group I4/m (No. 87)
Asymmetric unit:
Tl (0.154, 0.232, 0.000) x8
Cd (0.071, 0.607, 0.000) x8
In (0.000, 0.000, 0.000) x2
In (0.032, 0.803, 0.500) x8

## Properties
E in eV/f.u.: -26.20
V in Å³ per atom: 27.23
Calculated formation energy in eV per atom: 0.05
Mass density in g cm⁻³: 8.6
Total magnetization in μB/cell: 0.0
Crystal system: tetragonal

(12)
## Ac4Sn2Hg5 (PBE-GGA)

Data for crystalline Ac4Sn2Hg5 at its relaxed geometry.

Cell: 8.431 4.353 9.784 Å, 90.00 92.98 90.00°
Space group P2/m (No. 10)
Asymmetric unit:
Ac (0.221, 0.000, 0.138) x2
Ac (0.249, 0.000, 0.626) x2
Sn (0.081, 0.500, 0.375) x2
Hg (0.127, 0.500, 0.884) x2
Hg (0.437, 0.500, 0.354) x2
Hg (0.500, 0.500, 0.000) x1

## Properties
E in eV/f.u.: -31.17
V in Å³ per atom: 32.60
Calculated formation energy in eV per atom: -0.47
Mass density in g cm⁻³: 9.9
Total magnetization in μB/cell: 0.0
Crystal system: monoclinic

(13)
## SrLi2Pb (PBE-GGA)

Data for crystalline SrLi2Pb at its relaxed geometry.

Cell: 3.828 5.173 5.931 Å, 90.00 95.27 90.00°
Space group P2/m (No. 10)
Asymmetric unit:
Sr (0.000, 0.000, 0.000) x1
Li (0.318, 0.500, 0.689) x2
Pb (0.500, 0.000, 0.500) x1

## Properties
E in eV/f.u.: -10.04
V in Å³ per atom: 29.24
Calculated formation energy in eV per atom: -0.21
Mass density in g cm⁻³: 4.4
Total magnetization in μB/cell: 0.0
Crystal system: monoclinic

(14)
## SrLa3Pr4Se8 (PBE-GGA)

Data for crystalline SrLa3Pr4Se8 at its relaxed geometry.

Cell: 8.6016 8.6016 21.0720 Å, 90.00 90.00 120.00°
Space group R-3m (No. 166, hexagonal axes)
Asymmetric unit:
Sr (0.0000, 0.0000, 0.0000) x3
La (0.0000, 0.5000, 0.0000) x9
Pr (0.0000, 0.0000, 0.5000) x3
Pr (0.0000, 0.5000, 0.5000) x9
Se (0.0000, 0.0000, 0.2496) x6
Se (0.0006, 0.5003, 0.2493) x18

## Properties
E in eV/f.u.: -94.18
V in Å³ per atom: 28.13
Mass density in g cm⁻³: 6.3
Total magnetization in μB/cell: 0.0
Crystal system: trigonal

(15)
## Er3InPb2 (PBE-GGA)

Data for crystalline Er3InPb2 at its relaxed geometry.

Cell: 16.642 6.337 6.393 Å, 90.00 101.67 90.00°
Space group C2/c (No. 15)
Asymmetric unit:
Er (0.000, 0.125, 0.250) x4
Er (0.167, 0.385, 0.591) x8
In (0.000, 0.382, 0.750) x4
Pb (0.164, 0.112, 0.069) x8

## Properties
E in eV/f.u.: -26.25
V in Å³ per atom: 27.51
Calculated formation energy in eV per atom: -0.40
Mass density in g cm⁻³: 10.4
Total magnetization in μB/cell: 0.0
Crystal system: monoclinic

(16)
## BeVTeI2 (PBE-GGA)

Data for crystalline BeVTeI2 at its relaxed geometry.

Cell: 5.154 5.154 5.183 Å, 90.00 90.00 90.00°
Space group P4/mmm (No. 123)
Asymmetric unit:
Be (0.000, 0.000, 0.000) x1
V (0.500, 0.500, 0.500) x1
Te (0.000, 0.000, 0.500) x1
I (0.000, 0.500, 0.000) x2

## Properties
E in eV/f.u.: -16.10
V in Å³ per atom: 27.53
Mass density in g cm⁻³: 5.3
Total magnetization in μB/cell: 3.0
Crystal system: tetragonal

(17)
## PmHgH (PBE-GGA)

Data for crystalline PmHgH at its relaxed geometry.

Cell: 3.9210 3.9210 4.7418 Å, 90.00 90.00 120.00°
Space group P-6m2 (No. 187)
Asymmetric unit:
Pm (0.0000, 0.0000, 0.0000) x1
Hg (0.3333, 0.6667, 0.5000) x1
H (0.6667, 0.3333, 0.0000) x1

## Properties
E in eV/f.u.: -9.54
V in Å³ per atom: 21.05
Mass density in g cm⁻³: 9.1
Total magnetization in μB/cell: 0.0
Crystal system: hexagonal

(18)
## Nb2CuTe4 (PBE-GGA)

Data for crystalline Nb2CuTe4 at its relaxed geometry.

Cell: 5.278 5.278 14.071 Å, 90.00 90.00 90.00°
Space group I4/mmm (No. 139)
Asymmetric unit:
Nb (0.000, 0.000, 0.100) x4
Cu (0.000, 0.000, 0.500) x2
Te (0.000, 0.000, 0.285) x4
Te (0.000, 0.500, 0.000) x4

## Properties
E in eV/f.u.: -33.89
V in Å³ per atom: 28.00
Mass density in g cm⁻³: 6.4
Total magnetization in μB/cell: 5.3
Crystal system: tetragonal

(19)
## AcSmThIn (PBE-GGA)

Data for crystalline AcSmThIn at its relaxed geometry.

Cell: 8.026 8.026 8.026 Å, 90.00 90.00 90.00°
Space group F-43m (No. 216)
Asymmetric unit:
Ac (0.000, 0.000, 0.000) x4
Sm (0.250, 0.250, 0.250) x4
Th (0.250, 0.250, 0.750) x4
In (0.000, 0.000, 0.500) x4

## Properties
E in eV/f.u.: -18.95
V in Å³ per atom: 32.32
Calculated formation energy in eV per atom: 0.01
Mass density in g cm⁻³: 9.3
Total magnetization in μB/cell: 0.0
Crystal system: cubic

(20)
## LaTeIr3 (PBE-GGA)

Data for crystalline LaTeIr3 at its relaxed geometry.

Cell: 4.915 4.915 4.915 Å, 90.00 90.00 90.00°
Space group Pm-3m (No. 221)
Asymmetric unit:
La (0.000, 0.000, 0.000) x1
Te (0.500, 0.500, 0.500) x1
Ir (0.000, 0.500, 0.500) x3

## Properties
E in eV/f.u.: -31.81
V in Å³ per atom: 23.74
Mass density in g cm⁻³: 11.8
Total magnetization in μB/cell: 0.8
Crystal system: cubic

(21)
## RbTe3Au (PBE-GGA)

Data for crystalline RbTe3Au at its relaxed geometry.

Cell: 6.204 6.204 6.204 Å, 90.00 90.00 90.00°
Space group Pm-3m (No. 221)
Asymmetric unit:
Rb (0.000, 0.000, 0.000) x1
Te (0.000, 0.000, 0.500) x3
Au (0.500, 0.500, 0.500) x1

## Properties
E in eV/f.u.: -7.38
V in Å³ per atom: 47.76
Mass density in g cm⁻³: 4.6
Total magnetization in μB/cell: 0.0
Crystal system: cubic

(22)
## NaHgN2 (PBE-GGA)

Data for crystalline NaHgN2 at its relaxed geometry.

Cell: 3.5644 3.5644 21.0486 Å, 90.00 90.00 120.00°
Space group R-3m (No. 166, hexagonal axes)
Asymmetric unit:
Na (0.0000, 0.0000, 0.0000) x3
Hg (0.0000, 0.0000, 0.5000) x3
N (0.0000, 0.0000, 0.4040) x6

## Properties
E in eV/f.u.: -12.78
V in Å³ per atom: 19.30
Mass density in g cm⁻³: 5.4
Total magnetization in μB/cell: 9.0
Crystal system: trigonal

(23)
## Pm2HgPt (PBE-GGA)

Data for crystalline Pm2HgPt at its relaxed geometry.

Cell: 4.2233 4.2233 22.5957 Å, 90.00 90.00 120.00°
Space group R3m (No. 160, hexagonal axes)
Asymmetric unit:
Pm (0.0000, 0.0000, 0.0000) x3
Pm (0.0000, 0.0000, 0.1952) x3
Hg (0.0000, 0.0000, 0.4312) x3
Pt (0.0000, 0.0000, 0.5965) x3

## Properties
E in eV/f.u.: -18.81
V in Å³ per atom: 29.09
Calculated formation energy in eV per atom: -0.74
Mass density in g cm⁻³: 9.8
Total magnetization in μB/cell: 0.0
Crystal system: trigonal

(24)
## KSrFe2 (PBE-GGA)

Data for crystalline KSrFe2 at its relaxed geometry.

Cell: 3.668 5.209 12.288 Å, 90.00 90.00 90.00°
Space group Imm2 (No. 44)
Asymmetric unit:
K (0.000, 0.000, 0.000) x2
Sr (0.000, 0.500, 0.782) x2
Fe (0.000, 0.000, 0.614) x2
Fe (0.000, 0.500, 0.223) x2

## Properties
E in eV/f.u.: -16.66
V in Å³ per atom: 29.35
Calculated formation energy in eV per atom: 0.76
Mass density in g cm⁻³: 3.4
Total magnetization in μB/cell: 10.2
Crystal system: orthorhombic

(25)
## Ti2GaI (PBE-GGA)

Data for crystalline Ti2GaI at its relaxed geometry.

Cell: 6.697 6.697 6.697 Å, 90.00 90.00 90.00°
Space group Fm-3m (No. 225)
Asymmetric unit:
Ti (0.250, 0.250, 0.250) x8
Ga (0.000, 0.000, 0.000) x4
I (0.000, 0.000, 0.500) x4

## Properties
E in eV/f.u.: -19.72
V in Å³ per atom: 18.77
Mass density in g cm⁻³: 6.5
Total magnetization in μB/cell: 6.0
Crystal system: cubic